(1)
Crystalline SrB2Mo2 at its relaxed geometry. Source: Alexandria via LeMat-Bulk, functional GGA-PBE.

Geometry as POSCAR:
```
SrB2Mo2
1.0
-1.9594 1.9594 5.8697
1.9594 -1.9594 5.8697
1.9594 1.9594 -5.8697
Sr B Mo
1 2 2
direct
0.0000 0.0000 0.0000
0.3394 0.3394 0.0000
0.6606 0.6606 0.0000
0.2500 0.7500 0.5000
0.7500 0.2500 0.5000
```

Computed properties:
The space-group type is I4/mmm, No. 139. Its crystal system is tetragonal.


(2)
Crystalline SrB2Mo2 at its relaxed geometry. Source: Alexandria via LeMat-Bulk, functional GGA-PBE.

Geometry as POSCAR:
```
SrB2Mo2
1.0
6.6718 0.0000 0.0000
0.0000 6.6718 0.0000
0.0000 0.0000 3.2055
Sr B Mo
2 4 4
direct
0.0000 0.0000 0.0000
0.5000 0.5000 0.0000
0.0966 0.4034 0.0000
0.4034 0.9034 0.0000
0.5966 0.0966 0.0000
0.9034 0.5966 0.0000
0.1507 0.6507 0.5000
0.3493 0.1507 0.5000
0.6507 0.8493 0.5000
0.8493 0.3493 0.5000
```

Computed properties:
The space-group type is P4/mbm, No. 127. Its crystal system is tetragonal.


(1) takes first place; second place is 409 meV/atom up.